Record 1
Crystalline MgHg3 at its relaxed geometry, computed with GGA-PBE.

Geometry as CIF:
```
data_MgHg3
_cell_length_a 3.703
_cell_length_b 4.023
_cell_length_c 6.342
_cell_angle_alpha 90.00
_cell_angle_beta 91.98
_cell_angle_gamma 90.00
_symmetry_space_group_name_H-M 'P 1 2/m 1'
_symmetry_Int_Tables_number 10
_symmetry_space_group_name_Hall '-P 2y'
loop_
_atom_site_label
_atom_site_fract_x
_atom_site_fract_y
_atom_site_fract_z
Mg1 0.000 0.000 0.000
Hg1 0.000 0.000 0.500
Hg2 0.491 0.500 0.761
```

Computed properties:
Crystal system   monoclinic
Formation energy   -0.092 eV/atom



Record 2
Crystalline MgHg3 at its relaxed geometry, computed with GGA-PBE.

Geometry as CIF:
```
data_MgHg3
_cell_length_a 3.5462
_cell_length_b 3.5462
_cell_length_c 26.6184
_cell_angle_alpha 90.00
_cell_angle_beta 90.00
_cell_angle_gamma 120.00
_symmetry_space_group_name_H-M 'R -3 m'
_symmetry_Int_Tables_number 166
_symmetry_space_group_name_Hall '-R 3 2"'
loop_
_atom_site_label
_atom_site_fract_x
_atom_site_fract_y
_atom_site_fract_z
Mg1 0.0000 0.0000 0.0000
Hg1 0.0000 0.0000 0.2541
Hg2 0.0000 0.0000 0.5000
```

Computed properties:
Crystal system   trigonal
Formation energy   -0.060 eV/atom



Record 3
Crystalline MgHg at its relaxed geometry, computed with GGA-PBE.

Geometry as CIF:
```
data_MgHg
_cell_length_a 8.811
_cell_length_b 8.811
_cell_length_c 8.811
_cell_angle_alpha 90.00
_cell_angle_beta 90.00
_cell_angle_gamma 90.00
_symmetry_space_group_name_H-M 'I -4 3 m'
_symmetry_Int_Tables_number 217
_symmetry_space_group_name_Hall 'I -4 2 3'
loop_
_atom_site_label
_atom_site_fract_x
_atom_site_fract_y
_atom_site_fract_z
Mg1 0.125 0.125 0.125
Hg1 0.196 0.196 0.804
```

Computed properties:
Crystal system   cubic
Formation energy   0.206 eV/atom



Record 4
Crystalline Mg4Hg3 at its relaxed geometry, computed with GGA-PBE.

Geometry as CIF:
```
data_Mg4Hg3
_cell_length_a 3.826
_cell_length_b 3.826
_cell_length_c 21.047
_cell_angle_alpha 90.00
_cell_angle_beta 90.00
_cell_angle_gamma 90.00
_symmetry_space_group_name_H-M 'I 4/m m m'
_symmetry_Int_Tables_number 139
_symmetry_space_group_name_Hall '-I 4 2'
loop_
_atom_site_label
_atom_site_fract_x
_atom_site_fract_y
_atom_site_fract_z
Mg1 0.000 0.000 0.069
Mg2 0.000 0.000 0.350
Hg1 0.000 0.000 0.207
Hg2 0.000 0.000 0.500
```

Computed properties:
Crystal system   tetragonal
Formation energy   -0.147 eV/atom
Energy above the lowest structure with this stoichiometry   0.033 eV/atom